Entry 1:
Density functional theory data (PBE-GGA) for crystalline ErAs2Pd8 at its relaxed geometry.

Results
total energy = -5.5575 eV/atom
formation enthalpy at 0 K = -520.7 meV/atom

Unit cell a=6.8062 b=6.8062 c=4.5085 alpha=98.77 beta=98.77 gamma=111.87
With the nearest neighbours (Å) after each atom.
Fractional coordinates of all 11 atoms:
Er: 0.0000 0.0000 0.0000  12 Pd 2.79-3.03
As: 0.3231 0.6769 0.5000  8 Pd 2.41-2.62
As: 0.6769 0.3231 0.5000  8 Pd 2.41-2.62
Pd: 0.0648 0.3200 0.5914  2 As 2.55-2.62, 1 Pd 2.82
Pd: 0.2475 0.7525 0.0000  2 As 2.41
Pd: 0.3200 0.0648 0.5914  2 As 2.55-2.62, 1 Pd 2.82
Pd: 0.3822 0.3822 0.1796  2 As 2.48, 1 Pd 2.73
Pd: 0.6178 0.6178 0.8204  2 As 2.48, 1 Pd 2.73
Pd: 0.6800 0.9352 0.4086  2 As 2.55-2.62, 1 Pd 2.82
Pd: 0.7525 0.2475 0.0000  2 As 2.41
Pd: 0.9352 0.6800 0.4086  2 As 2.55-2.62, 1 Pd 2.82


Entry 2:
Density functional theory data (PBE-GGA) for crystalline Er2AsPd8 at its relaxed geometry.

Results
total energy = -5.7224 eV/atom
formation enthalpy at 0 K = -693.5 meV/atom

Unit cell a=7.9629 b=7.9629 c=7.9629 alpha=145.84 beta=136.90 gamma=56.10
With the nearest neighbours (Å) after each atom.
Fractional coordinates of all 11 atoms:
Er: 0.1879 0.1879 0.0000  12 Pd 2.84-3.03
Er: 0.8121 0.8121 0.0000  12 Pd 2.84-3.03
As: 0.5000 0.5000 0.0000  4 Pd 2.40
Pd: 0.1094 0.3671 0.7423  1 As 2.40
Pd: 0.2556 0.0000 0.2556  2 As 2.74, 8 Pd 2.86-2.99, 2 Er 3.03
Pd: 0.3134 0.8134 0.5000  8 Pd 2.88-2.99, 4 Er 2.92-2.93
Pd: 0.3752 0.6329 0.7423  1 As 2.40
Pd: 0.6248 0.3671 0.2577  1 As 2.40
Pd: 0.6866 0.1866 0.5000  8 Pd 2.88-2.99, 4 Er 2.92-2.93
Pd: 0.7444 0.0000 0.7444  2 As 2.74, 8 Pd 2.86-2.99, 2 Er 3.03
Pd: 0.8906 0.6329 0.2577  1 As 2.40